Ho3Mg3GaAg2 (PBE-GGA, optimized geometry); E = -29.90 eV per cell; magnetization = 0.02 μB/cell; V = 208.92 Å³/cell; calculated density = 6.78 g/cm3
1.0
7.624 0.000 0.000
-3.812 6.602 0.000
0.000 0.000 4.151
Ho Mg Ga Ag
3 3 1 2
Cartesian
-1.555 2.693 0.000 Ho
3.110 0.000 0.000 Ho
2.257 3.909 0.000 Ho
-2.877 4.983 2.075 Mg
0.935 1.619 2.075 Mg
5.754 0.000 2.075 Mg
0.000 0.000 0.000 Ga
0.000 4.402 2.075 Ag
3.812 2.201 2.075 Ag